# Re2HgCl, optimized geometry, DFT PBE
data_Re2HgCl
_symmetry_space_group_name_H-M 'P 1'
_symmetry_Int_Tables_number 1
_cell_length_a 2.911
_cell_length_b 2.911
_cell_length_c 9.536
_cell_angle_alpha 90.00
_cell_angle_beta 90.00
_cell_angle_gamma 122.93
loop_
_symmetry_equiv_pos_as_xyz
'x,y,z'
loop_
_atom_site_label
_atom_site_fract_x
_atom_site_fract_y
_atom_site_fract_z
Cl1 0.500 0.500 0.250
Hg1 0.500 0.500 0.750
Re1 0.000 0.000 0.016
Re2 0.000 0.000 0.484
# Magnetization = 0.00 Bohr magnetons per cell
# Fermi-level density of states = 4.77 states/eV per cell
# Electronic total energy = -5.69 eV per atom
# Density = 14.9 g/cm3
# Uncorrected formation energy = 1.076 eV per atom



# Hf2TcPd2, optimized geometry, DFT PBE
data_Hf2TcPd2
_symmetry_space_group_name_H-M 'P 1'
_symmetry_Int_Tables_number 1
_cell_length_a 4.902
_cell_length_b 4.902
_cell_length_c 5.356
_cell_angle_alpha 62.77
_cell_angle_beta 62.77
_cell_angle_gamma 90.00
loop_
_symmetry_equiv_pos_as_xyz
'x,y,z'
loop_
_atom_site_label
_atom_site_fract_x
_atom_site_fract_y
_atom_site_fract_z
Hf1 0.750 0.250 0.500
Hf2 0.250 0.750 0.500
Tc1 0.000 0.000 0.000
Pd1 0.354 0.354 0.292
Pd2 0.646 0.646 0.708
# DFT formation energy = 52 meV/atom
# Magnetization = 0.00 Bohr magnetons per cell
# Fermi-level density of states = 4.97 states/eV per cell
# Electronic total energy = -8.08 eV per atom
# Density = 11.3 g/cm3



# PdRh2F, optimized geometry, DFT PBE
data_PdRh2F
_symmetry_space_group_name_H-M 'P 1'
_symmetry_Int_Tables_number 1
_cell_length_a 4.331
_cell_length_b 4.331
_cell_length_c 4.331
_cell_angle_alpha 60.00
_cell_angle_beta 60.00
_cell_angle_gamma 60.00
loop_
_symmetry_equiv_pos_as_xyz
'x,y,z'
loop_
_atom_site_label
_atom_site_fract_x
_atom_site_fract_y
_atom_site_fract_z
Rh1 0.250 0.250 0.250
Rh2 0.750 0.750 0.750
Pd1 0.500 0.500 0.500
F1 0.000 0.000 0.000
# Magnetization = 3.82 Bohr magnetons per cell
# Fermi-level density of states = 5.72 states/eV per cell
# Electronic total energy = -5.17 eV per atom
# Density = 9.6 g/cm3
# Uncorrected formation energy = 0.267 eV per atom